Record 1
The following is a DFT calculation (PBE-GGA) of Nd6Dy3Tm after structural relaxation.

Cell: 5.4799 10.3565 12.4877 Å, 90.00 100.14 90.00°
Last column: nearest neighbours and their distance in Å.
Fractional coordinates of all 20 atoms:
1 Nd 0.0063 0.1872 0.0047  1 Tm 3.24, 4 Dy 3.34-3.58, 3 Nd 3.51-3.59
2 Nd 0.0063 0.3128 0.5047  1 Tm 3.24, 4 Dy 3.34-3.58, 3 Nd 3.51-3.59
3 Nd 0.1001 0.0044 0.7706  2 Dy 3.29-3.50, 1 Tm 3.33, 3 Nd 3.53-3.59
4 Nd 0.1001 0.4956 0.2706  2 Dy 3.29-3.50, 1 Tm 3.33, 3 Nd 3.53-3.59
5 Nd 0.4246 0.1706 0.3563  4 Dy 3.44-3.84, 4 Nd 3.51-3.75, 2 Tm 3.64-3.78
6 Nd 0.4246 0.3294 0.8563  4 Dy 3.44-3.84, 4 Nd 3.51-3.75, 2 Tm 3.64-3.78
7 Nd 0.5754 0.6706 0.1437  4 Dy 3.44-3.84, 4 Nd 3.51-3.75, 2 Tm 3.64-3.78
8 Nd 0.5754 0.8294 0.6437  4 Dy 3.44-3.84, 4 Nd 3.51-3.75, 2 Tm 3.64-3.78
9 Nd 0.8999 0.5044 0.7294  2 Dy 3.29-3.50, 1 Tm 3.33, 3 Nd 3.53-3.59
10 Nd 0.8999 0.9956 0.2294  2 Dy 3.29-3.50, 1 Tm 3.33, 3 Nd 3.53-3.59
11 Nd 0.9937 0.6872 0.4953  1 Tm 3.24, 4 Dy 3.34-3.58, 3 Nd 3.51-3.59
12 Nd 0.9937 0.8128 0.9953  1 Tm 3.24, 4 Dy 3.34-3.58, 3 Nd 3.51-3.59
13 Dy 0.4253 0.6675 0.8647  7 Nd 3.44-3.74, 2 Tm 3.56-3.73, 1 Dy 3.83
14 Dy 0.4253 0.8325 0.3647  7 Nd 3.44-3.74, 2 Tm 3.56-3.73, 1 Dy 3.83
15 Dy 0.5000 0.0000 0.0000  6 Nd 3.29-3.38
16 Dy 0.5000 0.5000 0.5000  6 Nd 3.29-3.38
17 Dy 0.5747 0.1675 0.6353  7 Nd 3.44-3.74, 2 Tm 3.56-3.73, 1 Dy 3.83
18 Dy 0.5747 0.3325 0.1353  7 Nd 3.44-3.74, 2 Tm 3.56-3.73, 1 Dy 3.83
19 Tm 0.0000 0.0000 0.5000  4 Nd 3.24-3.33, 2 Dy 3.56
20 Tm 0.0000 0.5000 0.0000  4 Nd 3.24-3.33, 2 Dy 3.56

## Properties
magnetic moment = 0.00 μB/f.u.
formation energy = 0.22 eV/atom
DOS(E_F) = 1.49 states/eV per atom
energy above the most stable polymorph in this dataset = 73 kJ/mol of formula units
V = 697.6 Å³/cell

Record 2
The following is a DFT calculation (PBE-GGA) of KLaTe2O6 after structural relaxation.

Cell: 7.1359 7.1359 8.0296 Å, 94.21 94.21 107.25°
Last column: nearest neighbours and their distance in Å.
Fractional coordinates of all 20 atoms:
1 K 0.1919 0.8081 0.7500  6 O 2.75-2.89
2 K 0.8081 0.1919 0.2500  6 O 2.75-2.89
3 La 0.4209 0.5791 0.2500  8 O 2.49-2.78
4 La 0.5791 0.4209 0.7500  8 O 2.49-2.78
5 Te 0.0837 0.3078 0.8684  3 O 1.89-1.91
6 Te 0.3078 0.0837 0.3684  3 O 1.89-1.91
7 Te 0.6922 0.9163 0.6316  3 O 1.89-1.91
8 Te 0.9163 0.6922 0.1316  3 O 1.89-1.91
9 O 0.0687 0.5642 0.2555  1 Te 1.89
10 O 0.2103 0.2135 0.2015  1 Te 1.89
11 O 0.2135 0.2103 0.7015  1 Te 1.89
12 O 0.3110 0.5286 0.9414  1 Te 1.91
13 O 0.4358 0.9313 0.2445  1 Te 1.89
14 O 0.4714 0.6890 0.5586  1 Te 1.91
15 O 0.5286 0.3110 0.4414  1 Te 1.91
16 O 0.5642 0.0687 0.7555  1 Te 1.89
17 O 0.6890 0.4714 0.0586  1 Te 1.91
18 O 0.7865 0.7897 0.2985  1 Te 1.89
19 O 0.7897 0.7865 0.7985  1 Te 1.89
20 O 0.9313 0.4358 0.7445  1 Te 1.89

## Properties
magnetic moment = 0.00 μB/f.u.
DOS(E_F) = 0.00 states/eV per atom
V = 387.5 Å³/cell
E_form (uncorrected) = -1853.5 meV/atom